(1)
! BaLiP2 | the Alexandria database | PBE | relaxed; values from VASP
&SYSTEM
  ibrav = 0, nat = 4, ntyp = 3
/
ATOMIC_SPECIES
Ba 137.33 Ba.upf
Li 6.94 Li.upf
P 30.97 P.upf
CELL_PARAMETERS angstrom
-3.019 1.270 0.572
-1.325 -2.197 -2.114
-1.043 -5.219 6.079
ATOMIC_POSITIONS crystal
Ba 0.500 0.500 0.250
Li 0.500 0.500 0.750
P 0.000 0.000 0.965
P 0.000 0.000 0.535
! - calculated total energy (eV per formula unit) = -15.32
! - ΔE to the lowest computed polymorph (meV/atom) = 562
! - formation energy from the elements (eV per atom) = -0.165

=====

(2)
! Ba2Li2P | the Alexandria database | PBE | relaxed; values from VASP
&SYSTEM
  ibrav = 0, nat = 5, ntyp = 3
/
ATOMIC_SPECIES
P 30.97 P.upf
Ba 137.33 Ba.upf
Li 6.94 Li.upf
CELL_PARAMETERS angstrom
-2.405 0.304 3.210
-2.877 -2.010 -1.966
1.141 -9.873 4.311
ATOMIC_POSITIONS crystal
P 0.000 0.000 0.000
Ba 0.419 0.419 0.162
Ba 0.581 0.581 0.838
Li 0.750 0.250 0.500
Li 0.250 0.750 0.500
! - calculated total energy (eV per formula unit) = -14.95
! - ΔE to the lowest computed polymorph (meV/atom) = 0
! - formation energy from the elements (eV per atom) = -0.374

=====

(3)
! BaLiP5 | the Alexandria database | PBE | relaxed; values from VASP
&SYSTEM
  ibrav = 0, nat = 14, ntyp = 3
/
ATOMIC_SPECIES
Ba 137.33 Ba.upf
Li 6.94 Li.upf
P 30.97 P.upf
CELL_PARAMETERS angstrom
-2.912 -3.223 -3.867
4.007 -1.130 4.061
-10.623 1.353 8.913
ATOMIC_POSITIONS crystal
Ba 0.820 0.680 0.250
Ba 0.180 0.320 0.750
Li 0.000 0.000 0.000
Li 0.500 0.500 0.500
P 0.147 0.507 0.104
P 0.766 0.137 0.523
P 0.007 0.647 0.604
P 0.526 0.974 0.250
P 0.363 0.734 0.977
P 0.637 0.266 0.023
P 0.474 0.026 0.750
P 0.993 0.353 0.396
P 0.234 0.863 0.477
P 0.853 0.493 0.896
! - calculated total energy (eV per formula unit) = -32.97
! - formation energy from the elements (eV per atom) = -0.298

=====

(4)
! BaLiP | the Alexandria database | PBE | relaxed; values from VASP
&SYSTEM
  ibrav = 0, nat = 6, ntyp = 3
/
ATOMIC_SPECIES
Ba 137.33 Ba.upf
Li 6.94 Li.upf
P 30.97 P.upf
CELL_PARAMETERS angstrom
4.561 0.000 0.000
0.000 4.561 0.000
0.000 0.000 7.200
ATOMIC_POSITIONS crystal
Ba 0.750 0.750 0.317
Ba 0.250 0.250 0.683
Li 0.250 0.750 0.000
Li 0.750 0.250 0.000
P 0.250 0.250 0.202
P 0.750 0.750 0.798
! - calculated total energy (eV per formula unit) = -11.98
! - formation energy from the elements (eV per atom) = -0.910

=====

(5)
! BaLiP2 | the Alexandria database | PBE | relaxed; values from VASP
&SYSTEM
  ibrav = 0, nat = 4, ntyp = 3
/
ATOMIC_SPECIES
Ba 137.33 Ba.upf
Li 6.94 Li.upf
P 30.97 P.upf
CELL_PARAMETERS angstrom
-4.187 -1.533 -1.194
0.124 -3.042 3.470
-1.859 2.987 2.684
ATOMIC_POSITIONS crystal
Ba 0.500 0.000 0.500
Li 0.000 0.500 0.500
P 0.000 0.000 0.000
P 0.500 0.500 0.000
! - calculated total energy (eV per formula unit) = -15.60
! - ΔE to the lowest computed polymorph (meV/atom) = 490
! - formation energy from the elements (eV per atom) = -0.236

=====

(6)
! BaLi2P2 | the Alexandria database | PBE | relaxed; values from VASP
&SYSTEM
  ibrav = 0, nat = 10, ntyp = 3
/
ATOMIC_SPECIES
Ba 137.33 Ba.upf
Li 6.94 Li.upf
P 30.97 P.upf
CELL_PARAMETERS angstrom
4.301 0.000 0.000
0.000 4.552 0.013
0.000 -1.090 10.772
ATOMIC_POSITIONS crystal
Ba 0.250 0.696 0.270
Ba 0.750 0.304 0.730
Li 0.250 0.853 0.883
Li 0.750 0.147 0.117
Li 0.250 0.248 0.498
Li 0.750 0.752 0.502
P 0.250 0.780 0.635
P 0.750 0.220 0.365
P 0.250 0.387 0.987
P 0.750 0.613 0.013
! - calculated total energy (eV per formula unit) = -20.36
! - formation energy from the elements (eV per atom) = -0.759

=====

(7)
! Ba2Li2P | the Alexandria database | PBE | relaxed; values from VASP
&SYSTEM
  ibrav = 0, nat = 10, ntyp = 3
/
ATOMIC_SPECIES
P 30.97 P.upf
Ba 137.33 Ba.upf
Li 6.94 Li.upf
CELL_PARAMETERS angstrom
7.255 0.000 0.000
0.000 7.255 0.000
0.000 0.000 5.163
ATOMIC_POSITIONS crystal
P 0.000 0.000 0.000
P 0.500 0.500 0.000
Ba 0.194 0.694 0.500
Ba 0.694 0.806 0.500
Ba 0.806 0.306 0.500
Ba 0.306 0.194 0.500
Li 0.360 0.860 0.000
Li 0.860 0.640 0.000
Li 0.640 0.140 0.000
Li 0.140 0.360 0.000
! - calculated total energy (eV per formula unit) = -14.28
! - ΔE to the lowest computed polymorph (meV/atom) = 133
! - formation energy from the elements (eV per atom) = -0.240

=====

(8)
! BaLiP2 | the Alexandria database | PBE | relaxed; values from VASP
&SYSTEM
  ibrav = 0, nat = 4, ntyp = 3
/
ATOMIC_SPECIES
Ba 137.33 Ba.upf
Li 6.94 Li.upf
P 30.97 P.upf
CELL_PARAMETERS angstrom
4.131 0.000 0.000
0.000 4.317 0.003
0.000 2.159 5.703
ATOMIC_POSITIONS crystal
Ba 0.000 0.483 0.409
Li 0.500 0.723 0.930
P 0.000 0.198 0.980
P 0.500 0.097 0.182
! - calculated total energy (eV per formula unit) = -17.04
! - ΔE to the lowest computed polymorph (meV/atom) = 130
! - formation energy from the elements (eV per atom) = -0.597

=====

(9)
! BaLiP | the Alexandria database | PBE | relaxed; values from VASP
&SYSTEM
  ibrav = 0, nat = 3, ntyp = 3
/
ATOMIC_SPECIES
Ba 137.33 Ba.upf
Li 6.94 Li.upf
P 30.97 P.upf
CELL_PARAMETERS angstrom
-1.492 2.705 -4.274
-4.237 3.034 -0.798
0.768 4.371 0.188
ATOMIC_POSITIONS crystal
Ba 0.009 0.009 0.991
Li 0.351 0.351 0.649
P 0.641 0.641 0.359
! - calculated total energy (eV per formula unit) = -10.81
! - formation energy from the elements (eV per atom) = -0.523

=====

(10)
! BaLiP2 | the Alexandria database | PBE | relaxed; values from VASP
&SYSTEM
  ibrav = 0, nat = 4, ntyp = 3
/
ATOMIC_SPECIES
Ba 137.33 Ba.upf
Li 6.94 Li.upf
P 30.97 P.upf
CELL_PARAMETERS angstrom
6.093 -0.003 -0.002
4.470 4.141 -0.002
4.470 1.751 3.752
ATOMIC_POSITIONS crystal
Ba 0.250 0.250 0.250
Li 0.750 0.750 0.750
P 0.059 0.059 0.059
P 0.441 0.441 0.441
! - calculated total energy (eV per formula unit) = -16.34
! - ΔE to the lowest computed polymorph (meV/atom) = 307
! - formation energy from the elements (eV per atom) = -0.420

=====

(11)
! BaLiP2 | the Alexandria database | PBE | relaxed; values from VASP
&SYSTEM
  ibrav = 0, nat = 4, ntyp = 3
/
ATOMIC_SPECIES
Ba 137.33 Ba.upf
Li 6.94 Li.upf
P 30.97 P.upf
CELL_PARAMETERS angstrom
-2.334 -0.227 2.954
-2.789 -0.839 -2.269
-1.426 -7.016 -1.666
ATOMIC_POSITIONS crystal
Ba 0.500 0.250 0.250
Li 0.500 0.750 0.750
P 0.000 0.081 0.918
P 0.000 0.419 0.582
! - calculated total energy (eV per formula unit) = -16.96
! - ΔE to the lowest computed polymorph (meV/atom) = 152
! - formation energy from the elements (eV per atom) = -0.575

=====

(12)
! BaLiP2 | the Alexandria database | PBE | relaxed; values from VASP
&SYSTEM
  ibrav = 0, nat = 8, ntyp = 3
/
ATOMIC_SPECIES
P 30.97 P.upf
Ba 137.33 Ba.upf
Li 6.94 Li.upf
CELL_PARAMETERS angstrom
-1.407 2.775 3.755
-3.800 -2.961 0.764
1.969 -4.650 7.341
ATOMIC_POSITIONS crystal
P 0.354 0.125 0.250
P 0.396 0.625 0.250
P 0.375 0.646 0.750
P 0.875 0.604 0.750
Ba 0.000 0.000 0.000
Ba 0.750 0.250 0.500
Li 0.500 0.500 0.000
Li 0.250 0.750 0.500
! - calculated total energy (eV per formula unit) = -17.24
! - ΔE to the lowest computed polymorph (meV/atom) = 80
! - formation energy from the elements (eV per atom) = -0.647

=====

(13)
! Ba2LiP | the Alexandria database | PBE | relaxed; values from VASP
&SYSTEM
  ibrav = 0, nat = 4, ntyp = 3
/
ATOMIC_SPECIES
Ba 137.33 Ba.upf
Li 6.94 Li.upf
P 30.97 P.upf
CELL_PARAMETERS angstrom
6.520 -0.011 0.000
3.098 5.737 0.000
-4.809 -2.863 3.345
ATOMIC_POSITIONS crystal
Ba 0.000 0.000 0.000
Ba 0.250 0.750 0.500
Li 0.500 0.500 0.000
P 0.750 0.250 0.500
! - calculated total energy (eV per formula unit) = -12.31
! - formation energy from the elements (eV per atom) = -0.284

=====

(14)
! BaLiP2 | the Alexandria database | PBE | relaxed; values from VASP
&SYSTEM
  ibrav = 0, nat = 4, ntyp = 3
/
ATOMIC_SPECIES
Ba 137.33 Ba.upf
Li 6.94 Li.upf
P 30.97 P.upf
CELL_PARAMETERS angstrom
4.743 0.045 -0.006
2.857 3.786 -0.006
1.612 0.813 5.327
ATOMIC_POSITIONS crystal
Ba 0.750 0.750 0.750
Li 0.250 0.250 0.250
P 0.993 0.993 0.149
P 0.507 0.507 0.351
! - calculated total energy (eV per formula unit) = -17.25
! - ΔE to the lowest computed polymorph (meV/atom) = 77
! - formation energy from the elements (eV per atom) = -0.650

=====

(15)
! Ba3Li7P4 | the Alexandria database | PBE | relaxed; values from VASP
&SYSTEM
  ibrav = 0, nat = 14, ntyp = 3
/
ATOMIC_SPECIES
Ba 137.33 Ba.upf
Li 6.94 Li.upf
P 30.97 P.upf
CELL_PARAMETERS angstrom
0.297 4.374 1.168
-1.455 0.094 8.831
7.268 0.573 4.819
ATOMIC_POSITIONS crystal
Ba 0.299 0.191 0.211
Ba 0.701 0.809 0.789
Ba 0.000 0.500 0.500
Li 0.326 0.829 0.519
Li 0.502 0.218 0.777
Li 0.819 0.430 0.931
Li 0.674 0.171 0.481
Li 0.181 0.570 0.069
Li 0.000 0.000 0.000
Li 0.498 0.782 0.223
P 0.650 0.485 0.215
P 0.350 0.515 0.785
P 0.880 0.909 0.331
P 0.120 0.091 0.669
! - calculated total energy (eV per formula unit) = -50.82
! - formation energy from the elements (eV per atom) = -0.715

=====

(16)
! Ba2LiP | the Alexandria database | PBE | relaxed; values from VASP
&SYSTEM
  ibrav = 0, nat = 4, ntyp = 3
/
ATOMIC_SPECIES
Ba 137.33 Ba.upf
Li 6.94 Li.upf
P 30.97 P.upf
CELL_PARAMETERS angstrom
8.449 -0.003 -0.003
6.147 5.796 0.003
-7.247 -3.024 3.117
ATOMIC_POSITIONS crystal
Ba 0.005 0.005 0.000
Ba 0.246 0.746 0.500
Li 0.589 0.589 0.000
P 0.660 0.160 0.500
! - calculated total energy (eV per formula unit) = -13.34
! - formation energy from the elements (eV per atom) = -0.542

=====

(17)
! Ba2LiP | the Alexandria database | PBE | relaxed; values from VASP
&SYSTEM
  ibrav = 0, nat = 4, ntyp = 3
/
ATOMIC_SPECIES
Ba 137.33 Ba.upf
Li 6.94 Li.upf
P 30.97 P.upf
CELL_PARAMETERS angstrom
-1.927 -0.719 -5.134
-0.220 -5.076 -2.185
-4.890 -2.457 -0.799
ATOMIC_POSITIONS crystal
Ba 0.000 0.000 0.000
Ba 0.250 0.250 0.250
Li 0.500 0.500 0.500
P 0.750 0.750 0.750
! - calculated total energy (eV per formula unit) = -11.17
! - formation energy from the elements (eV per atom) = -0.001

=====

(18)
! Ba4Li2P | the Alexandria database | PBE | relaxed; values from VASP
&SYSTEM
  ibrav = 0, nat = 7, ntyp = 3
/
ATOMIC_SPECIES
P 30.97 P.upf
Ba 137.33 Ba.upf
Li 6.94 Li.upf
CELL_PARAMETERS angstrom
6.273 0.000 0.000
0.000 6.273 0.000
3.137 3.137 9.134
ATOMIC_POSITIONS crystal
P 0.000 0.000 0.000
Ba 0.827 0.827 0.346
Ba 0.173 0.173 0.654
Ba 0.000 0.500 0.000
Ba 0.500 0.000 0.000
Li 0.625 0.625 0.751
Li 0.375 0.375 0.249
! - calculated total energy (eV per formula unit) = -18.51
! - formation energy from the elements (eV per atom) = -0.226

=====

(19)
! BaLiP3 | the Alexandria database | PBE | relaxed; values from VASP
&SYSTEM
  ibrav = 0, nat = 5, ntyp = 3
/
ATOMIC_SPECIES
P 30.97 P.upf
Ba 137.33 Ba.upf
Li 6.94 Li.upf
CELL_PARAMETERS angstrom
-4.130 -1.629 1.640
1.816 -4.364 0.239
1.430 0.838 4.433
ATOMIC_POSITIONS crystal
P 0.000 0.500 0.000
P 0.000 0.000 0.500
P 0.500 0.000 0.000
Ba 0.500 0.500 0.500
Li 0.000 0.000 0.000
! - calculated total energy (eV per formula unit) = -20.06
! - ΔE to the lowest computed polymorph (meV/atom) = 0
! - formation energy from the elements (eV per atom) = 0.001

=====

(20)
! BaLi3P | the Alexandria database | PBE | relaxed; values from VASP
&SYSTEM
  ibrav = 0, nat = 5, ntyp = 3
/
ATOMIC_SPECIES
P 30.97 P.upf
Ba 137.33 Ba.upf
Li 6.94 Li.upf
CELL_PARAMETERS angstrom
-2.255 3.049 3.042
2.940 -1.419 3.602
3.147 3.511 -1.186
ATOMIC_POSITIONS crystal
P 0.000 0.000 0.000
Ba 0.500 0.500 0.500
Li 0.000 0.500 0.000
Li 0.000 0.000 0.500
Li 0.500 0.000 0.000
! - calculated total energy (eV per formula unit) = -14.72
! - ΔE to the lowest computed polymorph (meV/atom) = 0
! - formation energy from the elements (eV per atom) = -0.329